# Tb7Tm12Th, optimized geometry, DFT PBE-GGA
data_Tb7Tm12Th
_chemical_formula_sum 'Tb14 Tm24 Th2'
_symmetry_space_group_name_H-M 'I m -3 m'
_symmetry_Int_Tables_number 229
_symmetry_space_group_name_Hall '-I 4 2 3'
_cell_length_a 11.1174
_cell_length_b 11.1174
_cell_length_c 11.1174
_cell_angle_alpha 90.00
_cell_angle_beta 90.00
_cell_angle_gamma 90.00
loop_
_atom_site_label
_atom_site_type_symbol
_atom_site_fract_x
_atom_site_fract_y
_atom_site_fract_z
_atom_site_occupancy
Tb1 Tb 0.0000 0.0000 0.5000 1
Tb2 Tb 0.2500 0.2500 0.2500 1
Tm1 Tm 0.0000 0.2460 0.2460 1
Th1 Th 0.0000 0.0000 0.0000 1
# * excess energy over the best structure of this formula in the dataset: 0.518 eV per atom
# * formation enthalpy at 0 K: 0.758 eV per atom
# * total magnetization: 0.001 μB per cell